{"formula": "CrSb3Pb", "functional": "PBE-GGA", "state": "optimized geometry", "cell": [[-5.160, -0.307, -0.245], [0.393, -4.011, -3.246], [0.003, -3.255, 4.023]], "species": ["Sb", "Sb", "Cr", "Sb", "Pb"], "frac_coords": [[0.000, 0.500, 0.000], [0.000, 0.000, 0.500], [0.000, 0.000, 0.000], [0.500, 0.000, 0.000], [0.500, 0.500, 0.500]], "n_ef_per_ev_cell": 3.8, "spacegroup": "Pm-3m", "relative_energy_mev_per_atom": 0.0, "raw_formation_energy_mev_per_atom": 355, "dft_energy_ev_per_cell": -23.9}

***

{"formula": "Sr4CdRe", "functional": "PBE-GGA", "state": "optimized geometry", "cell": [[0.000, 4.781, 4.781], [4.781, 0.000, 4.781], [4.781, 4.781, 0.000]], "species": ["Re", "Sr", "Sr", "Sr", "Sr", "Cd"], "frac_coords": [[0.000, 0.000, 0.000], [0.878, 0.374, 0.374], [0.374, 0.878, 0.374], [0.374, 0.374, 0.374], [0.374, 0.374, 0.878], [0.750, 0.750, 0.750]], "n_ef_per_ev_cell": 10.1, "spacegroup": "F-43m", "e_form_ev_per_atom": 1.22, "dft_energy_ev_per_cell": -12.8}

***

{"formula": "TaPSe2", "functional": "PBE-GGA", "state": "optimized geometry", "cell": [[3.229, 0.000, 0.000], [0.000, 3.229, 0.000], [0.000, 0.000, 6.788]], "species": ["P", "Se", "Se", "Ta"], "frac_coords": [[0.500, 0.500, 0.500], [0.000, 0.000, 0.225], [0.000, 0.000, 0.775], [0.500, 0.500, 0.000]], "n_ef_per_ev_cell": 2.1, "spacegroup": "P4/mmm", "raw_formation_energy_mev_per_atom": 52, "dft_energy_ev_per_cell": -24.0}